# 1
FeRu2Pb, relaxed, DFT PBE; DOS at the Fermi energy = 0.9769 states/eV per atom; E_form = 0.596 eV/atom; uncorrected energy = -7.085 eV per atom; space-group type = R-3m, No. 166
1.0
3.015 0.000 0.000
-1.508 2.611 0.000
0.000 0.000 25.312
Fe Ru Pb
3 6 3
direct
0.000 0.000 0.000
0.333 0.667 0.667
0.667 0.333 0.333
0.000 0.000 0.261
0.000 0.000 0.739
0.333 0.667 0.406
0.333 0.667 0.928
0.667 0.333 0.072
0.667 0.333 0.594
0.000 0.000 0.500
0.333 0.667 0.167
0.667 0.333 0.833

***

# 2
Hf12In3Au5, relaxed, DFT PBE; DOS at the Fermi energy = 1.2082 states/eV per atom; E_form = 0.391 eV/atom; uncorrected energy = -6.811 eV per atom; space-group type = Ia-3d, No. 230
1.0
-8.102 8.102 8.102
8.102 -8.102 8.102
8.102 8.102 -8.102
Hf In Au
48 12 20
direct
0.058 0.223 0.137
0.058 0.336 0.921
0.079 0.637 0.414
0.079 0.942 0.664
0.086 0.723 0.664
0.086 0.863 0.421
0.137 0.058 0.223
0.137 0.579 0.914
0.164 0.223 0.586
0.164 0.442 0.579
0.223 0.137 0.058
0.223 0.586 0.164
0.277 0.336 0.914
0.277 0.442 0.363
0.336 0.914 0.277
0.336 0.921 0.058
0.363 0.277 0.442
0.363 0.586 0.921
0.414 0.079 0.637
0.414 0.836 0.777
0.421 0.086 0.863
0.421 0.836 0.558
0.442 0.363 0.277
0.442 0.579 0.164
0.558 0.421 0.836
0.558 0.637 0.723
0.579 0.164 0.442
0.579 0.914 0.137
0.586 0.164 0.223
0.586 0.921 0.363
0.637 0.414 0.079
0.637 0.723 0.558
0.664 0.079 0.942
0.664 0.086 0.723
0.723 0.558 0.637
0.723 0.664 0.086
0.777 0.414 0.836
0.777 0.863 0.942
0.836 0.558 0.421
0.836 0.777 0.414
0.863 0.421 0.086
0.863 0.942 0.777
0.914 0.137 0.579
0.914 0.277 0.336
0.921 0.058 0.336
0.921 0.363 0.586
0.942 0.664 0.079
0.942 0.777 0.863
0.125 0.250 0.375
0.125 0.375 0.750
0.250 0.375 0.125
0.250 0.875 0.625
0.375 0.125 0.250
0.375 0.750 0.125
0.625 0.250 0.875
0.625 0.875 0.750
0.750 0.125 0.375
0.750 0.625 0.875
0.875 0.625 0.250
0.875 0.750 0.625
0.000 0.000 0.000
0.000 0.000 0.500
0.000 0.500 0.000
0.000 0.500 0.500
0.125 0.750 0.875
0.125 0.875 0.250
0.250 0.125 0.875
0.250 0.625 0.375
0.375 0.250 0.625
0.375 0.625 0.750
0.500 0.000 0.000
0.500 0.000 0.500
0.500 0.500 0.000
0.500 0.500 0.500
0.625 0.375 0.250
0.625 0.750 0.375
0.750 0.375 0.625
0.750 0.875 0.125
0.875 0.125 0.750
0.875 0.250 0.125